*i*
Below is a relaxed KBiAs2Se crystal, with properties calculated at the PBE level.

Cell lengths 5.5736, 5.5736, 5.7812 Å; angles 90.00, 90.00, 90.00 degrees
Sites, in units of the cell vectors:
K1 0.0000 0.0000 0.0000
Bi1 0.5000 0.5000 0.5000
As1 0.0000 0.5000 0.5000
As2 0.5000 0.0000 0.5000
Se1 0.5000 0.5000 0.0000

Values from the calculation:
Space-group type: P4/mmm (123)
Crystal system: tetragonal



*ii*
Below is a relaxed KBiAs2Se crystal, with properties calculated at the PBE level.

Cell lengths 5.3838, 5.3838, 5.4870 Å; angles 90.00, 90.00, 90.00 degrees
Sites, in units of the cell vectors:
K1 0.0000 0.0000 0.0000
Bi1 0.5000 0.5000 0.5000
As1 0.0000 0.5000 0.0000
As2 0.5000 0.0000 0.0000
Se1 0.0000 0.0000 0.5000

Values from the calculation:
Space-group type: P4/mmm (123)
Crystal system: tetragonal



Relative stability in meV/atom, measured from the most stable structure: *i* 0; *ii* 940



*i*
Below is a relaxed La2Bi2As crystal, with properties calculated at the PBE level.

Cell lengths 8.4169, 8.4169, 4.5178 Å; angles 90.00, 90.00, 90.00 degrees
Sites, in units of the cell vectors:
La1 0.1585 0.3415 0.0000
La2 0.3415 0.8415 0.0000
La3 0.6585 0.1585 0.0000
La4 0.8415 0.6585 0.0000
Bi1 0.1523 0.6523 0.5000
Bi2 0.3477 0.1523 0.5000
Bi3 0.6523 0.8477 0.5000
Bi4 0.8477 0.3477 0.5000
As1 0.0000 0.0000 0.5000
As2 0.5000 0.5000 0.5000

Values from the calculation:
Space-group type: P4/mbm (127)
Crystal system: tetragonal



*ii*
Below is a relaxed La2Bi2As crystal, with properties calculated at the PBE level.

Cell lengths 8.2110, 8.2110, 4.9034 Å; angles 90.00, 90.00, 90.00 degrees
Sites, in units of the cell vectors:
La1 0.1784 0.3216 0.0000
La2 0.3216 0.8216 0.0000
La3 0.6784 0.1784 0.0000
La4 0.8216 0.6784 0.0000
Bi1 0.1292 0.6292 0.5000
Bi2 0.3708 0.1292 0.5000
Bi3 0.6292 0.8708 0.5000
Bi4 0.8708 0.3708 0.5000
As1 0.0000 0.0000 0.0000
As2 0.5000 0.5000 0.0000

Values from the calculation:
Space-group type: P4/mbm (127)
Crystal system: tetragonal



Relative stability in meV/atom, measured from the most stable structure: *i* 158; *ii* 0